(1)
This record from Alexandria describes a relaxed structure of BaPOsPt. The functional is GGA-PBE.

Geometry as POSCAR:
```
BaPOsPt
1.0
3.994 0.000 0.000
0.000 3.994 0.000
0.000 0.000 11.384
Pt Ba P Os
2 2 2 2
direct
0.250 0.750 0.500
0.750 0.250 0.500
0.750 0.750 0.277
0.250 0.250 0.723
0.750 0.750 0.892
0.250 0.250 0.108
0.750 0.250 0.000
0.250 0.750 0.000
```

## Properties
Total energy   -6.73 eV/atom
ΔE_f   -0.584 eV per atom
Symmetry   P4/nmm (129)

(2)
This record from Alexandria describes a relaxed structure of AlPIr. The functional is GGA-PBE.

Geometry as POSCAR:
```
AlPIr
1.0
-2.168 1.521 1.526
-0.767 -1.839 -2.317
-0.491 -4.236 3.524
Al Ir P
1 1 1
direct
0.000 0.000 0.000
0.667 0.333 0.351
0.333 0.667 0.649
```

## Properties
Total energy   -6.29 eV/atom
ΔE_f   -0.284 eV per atom
Symmetry   P3m1 (156)

(3)
This record from Alexandria describes a relaxed structure of ScHNO2. The functional is GGA-PBE.

Geometry as POSCAR:
```
ScHNO2
1.0
3.714 0.000 0.000
0.000 3.714 0.000
0.000 0.000 2.793
N O Sc H
1 2 1 1
direct
0.000 0.000 0.500
0.000 0.500 0.000
0.500 0.000 0.000
0.500 0.500 0.500
0.000 0.000 0.000
```

## Properties
Total energy   -5.94 eV/atom
Symmetry   P4/mmm (123)

Please write out number 1 again, unchanged.
This record from Alexandria describes a relaxed structure of BaPOsPt. The functional is GGA-PBE.

Geometry as POSCAR:
```
BaPOsPt
1.0
3.994 0.000 0.000
0.000 3.994 0.000
0.000 0.000 11.384
Pt Ba P Os
2 2 2 2
direct
0.250 0.750 0.500
0.750 0.250 0.500
0.750 0.750 0.277
0.250 0.250 0.723
0.750 0.750 0.892
0.250 0.250 0.108
0.750 0.250 0.000
0.250 0.750 0.000
```

## Properties
Total energy   -6.73 eV/atom
ΔE_f   -0.584 eV per atom
Symmetry   P4/nmm (129)

Question: What is the total energy in the third record?
Answer: -5.94 eV/atom

Question: Which value of total energy does entry 1 give?
Answer: -6.73 eV/atom